Entry from the Alexandria database: a geometry-optimized ScCo2Sb structure (PBE).

Cell lengths 9.293, 9.293, 9.293 Å; angles 154.52, 154.52, 36.34 degrees
Fractional coordinates of all 8 atoms:
Sc: 0.000 0.000 0.000
Sc: 0.750 0.250 0.500
Co: 0.216 0.625 0.091
Co: 0.375 0.466 0.591
Co: 0.534 0.125 0.909
Co: 0.875 0.784 0.409
Sb: 0.250 0.750 0.500
Sb: 0.500 0.500 0.000

Formation energy from raw total energies ... 12.9 kJ per mole of atoms
Density of states at the Fermi level ... 5.7 states/eV/f.u.
SG ... I-42d (122)
Theoretical density ... 6.4 g/cm3
Magnetic moment ... 2.37 μB per formula unit